Crystalline CsH4Br2N at its relaxed geometry. Source: the Alexandria database, functional PBE.

It has space group Fddd (No. 70, origin choice 2), with a = 10.003 Å, b = 10.013 Å, c = 14.527 Å, α = 90.00°, β = 90.00° and γ = 90.00°. The inequivalent atoms are Cs at (0.125, 0.125, 0.125), H at (0.065, 0.065, 0.584), Br at (0.125, 0.125, 0.389) and N at (0.125, 0.125, 0.625).

The density of states at the Fermi level is 0.00 states/eV per cell. As for the final energy: -4.09 eV/atom.